*w*
A crystal of Ba2NiBr relaxed with PBEsol, computed with SCAN.

Cell: 5.525 5.525 3.780 Å, 90.00 90.00 90.00°
Space group P4/mmm (No. 123)
Asymmetric unit:
Ba  0.000  0.500  0.000
Ni  0.000  0.000  0.500
Br  0.500  0.500  0.500

Calculated density in g/cm3: 5.9
N(E_F) in states/eV per cell: 3.0

=====

*x*
A crystal of Ba2NiBr relaxed with PBEsol, computed with SCAN.

Cell: 4.3547 4.3547 24.5874 Å, 90.00 90.00 120.00°
Space group R-3m (No. 166, hexagonal axes)
Asymmetric unit:
Ba  0.0000  0.0000  0.2378
Ni  0.0000  0.0000  0.5000
Br  0.0000  0.0000  0.0000

Calculated density in g/cm3: 5.1
N(E_F) in states/eV per cell: 7.2

=====

Energy comparison, zero being the most stable, in eV/atom: *w* 0.208; *x* 0.000.

=====

*w*
A crystal of BaOs2Br relaxed with PBEsol, computed with SCAN.

Cell: 4.693 4.811 8.212 Å, 90.00 90.00 90.00°
Space group Cmm2 (No. 35)
Asymmetric unit:
Ba  0.000  0.000  0.000
Os  0.000  0.000  0.413
Os  0.000  0.500  0.306
Br  0.000  0.500  0.743

Calculated density in g/cm3: 10.7
N(E_F) in states/eV per cell: 5.8

=====

*x*
A crystal of BaOs2Br relaxed with PBEsol, computed with SCAN.

Cell: 3.922 3.922 12.050 Å, 90.00 90.00 90.00°
Space group I4/mmm (No. 139)
Asymmetric unit:
Ba  0.000  0.000  0.000
Os  0.000  0.500  0.250
Br  0.000  0.000  0.500

Calculated density in g/cm3: 10.7
N(E_F) in states/eV per cell: 7.6

=====

Energy comparison, zero being the most stable, in eV/atom: *w* 0.000; *x* 0.850.